[1]
The following is a DFT calculation (GGA-PBE) of InSi2Tc after structural relaxation.

Unit cell a=3.253 b=4.328 c=4.613 alpha=90.00 beta=90.00 gamma=90.00
Positions (direct):
In 0.000 0.000 0.000
Si 0.000 0.500 0.500
Si 0.500 0.500 0.000
Tc 0.500 0.000 0.500

Summary:
Space-group type ... No. 47
DOS(E_F) ... 0.5840 states/eV per atom
Volume ... 64.9 Å³/f.u.
Formation energy (no corrections) ... 46.8 kJ per mole of atoms
Electronic total energy ... -5.502 eV per atom

[2]
The following is a DFT calculation (GGA-PBE) of In2SiTc after structural relaxation.

Unit cell a=3.663 b=3.663 c=5.435 alpha=90.00 beta=90.00 gamma=90.00
Positions (direct):
In 0.000 0.000 0.248
In 0.000 0.000 0.752
Si 0.500 0.500 0.500
Tc 0.500 0.500 0.000

Summary:
Space-group type ... No. 123
DOS(E_F) ... 0.4845 states/eV per atom
Volume ... 72.9 Å³/f.u.
Formation energy (no corrections) ... 32.1 kJ per mole of atoms
Electronic total energy ... -4.984 eV per atom

[3]
The following is a DFT calculation (GGA-PBE) of InSi2Tc after structural relaxation.

Unit cell a=3.182 b=3.182 c=6.644 alpha=90.00 beta=90.00 gamma=90.00
Positions (direct):
In 0.000 0.000 0.000
Si 0.000 0.000 0.543
Si 0.500 0.500 0.326
Tc 0.500 0.500 0.696

Summary:
Space-group type ... No. 99
DOS(E_F) ... 0.6072 states/eV per atom
Volume ... 67.3 Å³/f.u.
Formation energy (no corrections) ... 10.1 kJ per mole of atoms
Electronic total energy ... -5.883 eV per atom

[4]
The following is a DFT calculation (GGA-PBE) of InSi2Tc after structural relaxation.

Unit cell a=6.951 b=6.951 c=6.951 alpha=129.56 beta=129.56 gamma=74.11
Positions (direct):
In 0.000 0.000 0.000
In 0.750 0.250 0.500
Si 0.184 0.625 0.059
Si 0.375 0.434 0.559
Si 0.566 0.125 0.941
Si 0.875 0.816 0.441
Tc 0.250 0.750 0.500
Tc 0.500 0.500 0.000

Summary:
Space-group type ... No. 122
DOS(E_F) ... 0.6561 states/eV per atom
Volume ... 97.3 Å³/f.u.
Formation energy (no corrections) ... 54.8 kJ per mole of atoms
Electronic total energy ... -5.419 eV per atom

[5]
The following is a DFT calculation (GGA-PBE) of InSiTc after structural relaxation.

Unit cell a=5.019 b=3.320 c=6.402 alpha=90.00 beta=99.70 gamma=90.00
Positions (direct):
In 0.000 0.000 0.000
In 0.488 0.500 0.946
Si 0.117 0.000 0.557
Si 0.778 0.500 0.390
Tc 0.270 0.500 0.321
Tc 0.625 0.000 0.626

Summary:
Space-group type ... No. 6
DOS(E_F) ... 0.1841 states/eV per atom
Energy relative to the lowest polymorph listed for this composition ... 13.3 kJ/mol of atoms
Volume ... 52.6 Å³/f.u.
Formation energy (no corrections) ... -17.3 kJ per mole of atoms
Electronic total energy ... -6.355 eV per atom

[6]
The following is a DFT calculation (GGA-PBE) of InSi2Tc after structural relaxation.

Unit cell a=4.563 b=4.563 c=3.217 alpha=90.13 beta=90.13 gamma=105.98
Positions (direct):
In 0.000 0.000 0.000
Si 0.000 0.500 0.500
Si 0.500 0.000 0.500
Tc 0.500 0.500 0.000

Summary:
Space-group type ... No. 12
DOS(E_F) ... 0.6275 states/eV per atom
Volume ... 64.4 Å³/f.u.
Formation energy (no corrections) ... 39.3 kJ per mole of atoms
Electronic total energy ... -5.580 eV per atom

[7]
The following is a DFT calculation (GGA-PBE) of InSiTc after structural relaxation.

Unit cell a=4.127 b=4.127 c=3.530 alpha=90.00 beta=90.00 gamma=120.00
Positions (direct):
In 0.000 0.000 0.000
Si 0.667 0.333 0.500
Tc 0.333 0.667 0.500

Summary:
Space-group type ... No. 187
DOS(E_F) ... 0.3259 states/eV per atom
Energy relative to the lowest polymorph listed for this composition ... 32.7 kJ/mol of atoms
Volume ... 52.1 Å³/f.u.
Formation energy (no corrections) ... 2.1 kJ per mole of atoms
Electronic total energy ... -6.154 eV per atom

[8]
The following is a DFT calculation (GGA-PBE) of In2SiTc after structural relaxation.

Unit cell a=4.716 b=4.716 c=4.716 alpha=60.00 beta=60.00 gamma=60.00
Positions (direct):
In 0.000 0.000 0.000
In 0.250 0.250 0.250
Si 0.750 0.750 0.750
Tc 0.500 0.500 0.500

Summary:
Space-group type ... No. 216
DOS(E_F) ... 0.8761 states/eV per atom
Volume ... 74.2 Å³/f.u.
Formation energy (no corrections) ... 59.5 kJ per mole of atoms
Electronic total energy ... -4.700 eV per atom

[9]
The following is a DFT calculation (GGA-PBE) of InSiTc3 after structural relaxation.

Unit cell a=4.847 b=4.847 c=4.847 alpha=90.00 beta=90.00 gamma=90.00
Positions (direct):
In 0.000 0.000 0.000
Si 0.500 0.500 0.500
Tc 0.000 0.000 0.500
Tc 0.000 0.500 0.000
Tc 0.500 0.000 0.000

Summary:
Space-group type ... No. 221
DOS(E_F) ... 1.0195 states/eV per atom
Energy relative to the lowest polymorph listed for this composition ... 174.2 kJ/mol of atoms
Volume ... 113.9 Å³/f.u.
Formation energy (no corrections) ... 235.9 kJ per mole of atoms
Electronic total energy ... -5.407 eV per atom

[10]
The following is a DFT calculation (GGA-PBE) of InSi2Tc after structural relaxation.

Unit cell a=3.088 b=3.088 c=7.302 alpha=90.00 beta=90.00 gamma=90.00
Positions (direct):
In 0.000 0.000 0.000
Si 0.500 0.500 0.319
Si 0.500 0.500 0.681
Tc 0.000 0.000 0.500

Summary:
Space-group type ... No. 123
DOS(E_F) ... 0.5607 states/eV per atom
Volume ... 69.6 Å³/f.u.
Formation energy (no corrections) ... 0.4 kJ per mole of atoms
Electronic total energy ... -5.983 eV per atom

[11]
The following is a DFT calculation (GGA-PBE) of In2SiTc after structural relaxation.

Unit cell a=8.770 b=8.770 c=8.770 alpha=21.21 beta=21.21 gamma=21.21
Positions (direct):
In 0.248 0.248 0.248
In 0.752 0.752 0.752
Si 0.000 0.000 0.000
Tc 0.500 0.500 0.500

Summary:
Space-group type ... No. 166
DOS(E_F) ... 0.7627 states/eV per atom
Volume ... 77.3 Å³/f.u.
Formation energy (no corrections) ... 49.8 kJ per mole of atoms
Electronic total energy ... -4.800 eV per atom

[12]
The following is a DFT calculation (GGA-PBE) of InSi2Tc2 after structural relaxation.

Unit cell a=6.983 b=6.983 c=6.983 alpha=151.25 beta=151.25 gamma=41.11
Positions (direct):
In 0.000 0.000 0.000
Si 0.250 0.750 0.500
Si 0.750 0.250 0.500
Tc 0.384 0.384 0.000
Tc 0.616 0.616 0.000

Summary:
Space-group type ... No. 139
DOS(E_F) ... 0.4560 states/eV per atom
Energy relative to the lowest polymorph listed for this composition ... 0.0 kJ/mol of atoms
Volume ... 78.6 Å³/f.u.
Formation energy (no corrections) ... -25.3 kJ per mole of atoms
Electronic total energy ... -7.125 eV per atom